No. 1
# Sm2Al3Ir2, relaxed, DFT PBE-GGA
data_Sm2Al3Ir2
_cell_length_a 3.106
_cell_length_b 27.410
_cell_length_c 3.108
_cell_angle_alpha 90.00
_cell_angle_beta 90.00
_cell_angle_gamma 90.00
_space_group_name_H-M_alt 'C m m m'
_space_group_IT_number 65
_space_group_name_Hall '-C 2 2'
loop_
_atom_site_label
_atom_site_fract_x
_atom_site_fract_y
_atom_site_fract_z
Sm1 0.000 0.189 0.000
Al1 0.000 0.393 0.500
Al2 0.000 0.500 0.500
Ir1 0.000 0.055 0.000
# DFT total energy: -0.442 Ry/atom
# crystal system: orthorhombic

No. 2
# AcMgTa, relaxed, DFT PBE-GGA
data_AcMgTa
_cell_length_a 7.343
_cell_length_b 7.343
_cell_length_c 7.343
_cell_angle_alpha 90.00
_cell_angle_beta 90.00
_cell_angle_gamma 90.00
_space_group_name_H-M_alt 'F -4 3 m'
_space_group_IT_number 216
_space_group_name_Hall 'F -4 2 3'
loop_
_atom_site_label
_atom_site_fract_x
_atom_site_fract_y
_atom_site_fract_z
Ac1 0.000 0.000 0.000
Mg1 0.250 0.250 0.750
Ta1 0.250 0.250 0.250
# DFT total energy: -0.313 Ry/atom
# crystal system: cubic